1.
# Ce2TmPb2 (PBE, relaxed)
data_Ce2TmPb2
_chemical_formula_sum 'Ce4 Tm2 Pb4'
_cell_length_a 5.116
_cell_length_b 15.794
_cell_length_c 4.123
_cell_angle_alpha 90.00
_cell_angle_beta 90.00
_cell_angle_gamma 90.00
_space_group_name_H-M_alt 'C m m m'
_space_group_IT_number 65
_space_group_name_Hall '-C 2 2'
loop_
_atom_site_label
_atom_site_fract_x
_atom_site_fract_y
_atom_site_fract_z
Ce1 0.000 0.176 0.000
Tm1 0.000 0.500 0.000
Pb1 0.000 0.352 0.500
# formation enthalpy at 0 K = -0.1492 eV per atom
# magnetic moment = 2.99 μB/f.u.
# N(E_F) = 2.458 states/eV per atom

2.
# Er3AlAu2 (PBE, relaxed)
data_Er3AlAu2
_chemical_formula_sum 'Er3 Al1 Au2'
_cell_length_a 3.547
_cell_length_b 3.547
_cell_length_c 10.874
_cell_angle_alpha 90.00
_cell_angle_beta 90.00
_cell_angle_gamma 90.00
_space_group_name_H-M_alt 'P 4/m m m'
_space_group_IT_number 123
_space_group_name_Hall '-P 4 2'
loop_
_atom_site_label
_atom_site_fract_x
_atom_site_fract_y
_atom_site_fract_z
Er1 0.000 0.000 0.000
Er2 0.000 0.000 0.330
Al1 0.500 0.500 0.500
Au1 0.500 0.500 0.171
# formation enthalpy at 0 K = -0.7210 eV per atom
# magnetic moment = 0.00 μB/f.u.
# N(E_F) = 0.503 states/eV per atom

3.
# ZnFeSCl2 (PBE, relaxed)
data_ZnFeSCl2
_chemical_formula_sum 'Zn1 Fe1 S1 Cl2'
_cell_length_a 4.742
_cell_length_b 4.742
_cell_length_c 4.284
_cell_angle_alpha 90.00
_cell_angle_beta 90.00
_cell_angle_gamma 90.00
_space_group_name_H-M_alt 'P 4/m m m'
_space_group_IT_number 123
_space_group_name_Hall '-P 4 2'
loop_
_atom_site_label
_atom_site_fract_x
_atom_site_fract_y
_atom_site_fract_z
Zn1 0.000 0.000 0.000
Fe1 0.500 0.500 0.500
S1 0.500 0.500 0.000
Cl1 0.000 0.500 0.500
# magnetic moment = 0.00 μB/f.u.
# E_form (uncorrected) = 0.11 eV/f.u.
# N(E_F) = 1.033 states/eV per atom

4.
# SmU2C3 (PBE, relaxed)
data_SmU2C3
_chemical_formula_sum 'Sm4 U8 C12'
_cell_length_a 5.240
_cell_length_b 10.146
_cell_length_c 7.504
_cell_angle_alpha 90.00
_cell_angle_beta 90.00
_cell_angle_gamma 90.00
_space_group_name_H-M_alt 'I m m a'
_space_group_IT_number 74
_space_group_name_Hall '-I 2b 2'
loop_
_atom_site_label
_atom_site_fract_x
_atom_site_fract_y
_atom_site_fract_z
Sm1 0.000 0.250 0.060
U1 0.000 0.065 0.683
C1 0.136 0.000 0.000
C2 0.250 0.250 0.750
# formation enthalpy at 0 K = -0.0258 eV per atom
# magnetic moment = 1.57 μB/f.u.
# N(E_F) = 1.334 states/eV per atom

5.
# SrErZnSn (PBE, relaxed)
data_SrErZnSn
_chemical_formula_sum 'Sr4 Er4 Zn4 Sn4'
_cell_length_a 7.600
_cell_length_b 7.600
_cell_length_c 7.600
_cell_angle_alpha 90.00
_cell_angle_beta 90.00
_cell_angle_gamma 90.00
_space_group_name_H-M_alt 'F -4 3 m'
_space_group_IT_number 216
_space_group_name_Hall 'F -4 2 3'
loop_
_atom_site_label
_atom_site_fract_x
_atom_site_fract_y
_atom_site_fract_z
Sr1 0.000 0.000 0.000
Er1 0.000 0.000 0.500
Zn1 0.250 0.250 0.250
Sn1 0.250 0.250 0.750
# formation enthalpy at 0 K = -0.3827 eV per atom
# magnetic moment = 0.00 μB/f.u.
# N(E_F) = 0.754 states/eV per atom

6.
# SbAs2Pb2 (PBE, relaxed)
data_SbAs2Pb2
_chemical_formula_sum 'Sb2 As4 Pb4'
_cell_length_a 9.139
_cell_length_b 9.139
_cell_length_c 3.242
_cell_angle_alpha 90.00
_cell_angle_beta 90.00
_cell_angle_gamma 90.00
_space_group_name_H-M_alt 'P 4/m b m'
_space_group_IT_number 127
_space_group_name_Hall '-P 4 2ab'
loop_
_atom_site_label
_atom_site_fract_x
_atom_site_fract_y
_atom_site_fract_z
Sb1 0.000 0.000 0.000
As1 0.156 0.344 0.500
Pb1 0.145 0.645 0.000
# magnetic moment = 0.00 μB/f.u.
# E_form (uncorrected) = 1.53 eV/f.u.
# N(E_F) = 0.455 states/eV per atom

7.
# InReOs3 (PBE, relaxed)
data_InReOs3
_chemical_formula_sum 'In1 Re1 Os3'
_cell_length_a 4.732
_cell_length_b 4.732
_cell_length_c 4.732
_cell_angle_alpha 90.00
_cell_angle_beta 90.00
_cell_angle_gamma 90.00
_space_group_name_H-M_alt 'P m -3 m'
_space_group_IT_number 221
_space_group_name_Hall '-P 4 2 3'
loop_
_atom_site_label
_atom_site_fract_x
_atom_site_fract_y
_atom_site_fract_z
In1 0.000 0.000 0.000
Re1 0.500 0.500 0.500
Os1 0.000 0.500 0.500
# formation enthalpy at 0 K = 2.0268 eV per atom
# magnetic moment = 0.00 μB/f.u.
# N(E_F) = 1.470 states/eV per atom

8.
# KPu2HgO7 (PBE, relaxed)
data_KPu2HgO7
_chemical_formula_sum 'K1 Pu2 Hg1 O7'
_cell_length_a 4.215
_cell_length_b 4.215
_cell_length_c 11.773
_cell_angle_alpha 90.00
_cell_angle_beta 90.00
_cell_angle_gamma 90.00
_space_group_name_H-M_alt 'P 4/m m m'
_space_group_IT_number 123
_space_group_name_Hall '-P 4 2'
loop_
_atom_site_label
_atom_site_fract_x
_atom_site_fract_y
_atom_site_fract_z
K1 0.000 0.000 0.000
Pu1 0.500 0.500 0.179
Hg1 0.000 0.000 0.500
O1 0.000 0.500 0.168
O2 0.500 0.500 0.000
O3 0.500 0.500 0.334
# magnetic moment = 3.14 μB/f.u.
# E_form (uncorrected) = -22.40 eV/f.u.
# N(E_F) = 0.468 states/eV per atom

9.
# BaCePb2 (PBE, relaxed)
data_BaCePb2
_chemical_formula_sum 'Ba1 Ce1 Pb2'
_cell_length_a 3.750
_cell_length_b 3.750
_cell_length_c 9.644
_cell_angle_alpha 90.00
_cell_angle_beta 90.00
_cell_angle_gamma 90.00
_space_group_name_H-M_alt 'P 4/m m m'
_space_group_IT_number 123
_space_group_name_Hall '-P 4 2'
loop_
_atom_site_label
_atom_site_fract_x
_atom_site_fract_y
_atom_site_fract_z
Ba1 0.000 0.000 0.000
Ce1 0.000 0.000 0.500
Pb1 0.500 0.500 0.268
# formation enthalpy at 0 K = -0.4335 eV per atom
# magnetic moment = 1.30 μB/f.u.
# N(E_F) = 2.147 states/eV per atom

10.
# Ca2MgAs3Pt4 (PBE, relaxed)
data_Ca2MgAs3Pt4
_chemical_formula_sum 'Ca2 Mg1 As3 Pt4'
_cell_length_a 4.273
_cell_length_b 4.273
_cell_length_c 10.742
_cell_angle_alpha 90.00
_cell_angle_beta 90.00
_cell_angle_gamma 90.00
_space_group_name_H-M_alt 'P -4 m 2'
_space_group_IT_number 115
loop_
_space_group_symop_operation_xyz
'x,y,z'
'y,-x,-z'
'-x,-y,z'
'-y,x,-z'
'-x,y,z'
'-y,-x,-z'
'x,-y,z'
'y,x,-z'
loop_
_atom_site_label
_atom_site_fract_x
_atom_site_fract_y
_atom_site_fract_z
Ca1 0.000 0.500 0.237
Mg1 0.000 0.000 0.500
As1 0.000 0.500 0.868
As2 0.500 0.500 0.500
Pt1 0.000 0.000 0.000
Pt2 0.000 0.500 0.642
Pt3 0.500 0.500 0.000
# formation enthalpy at 0 K = -0.7910 eV per atom
# magnetic moment = 0.00 μB/f.u.
# N(E_F) = 0.562 states/eV per atom

11.
# Ag2PRu (PBE, relaxed)
data_Ag2PRu
_chemical_formula_sum 'Ag2 P1 Ru1'
_cell_length_a 2.984
_cell_length_b 2.984
_cell_length_c 7.200
_cell_angle_alpha 90.00
_cell_angle_beta 90.00
_cell_angle_gamma 90.00
_space_group_name_H-M_alt 'P 4 m m'
_space_group_IT_number 99
loop_
_space_group_symop_operation_xyz
'x,y,z'
'-y,x,z'
'-x,-y,z'
'y,-x,z'
'-x,y,z'
'y,x,z'
'x,-y,z'
'-y,-x,z'
loop_
_atom_site_label
_atom_site_fract_x
_atom_site_fract_y
_atom_site_fract_z
Ag1 0.000 0.000 0.000
Ag2 0.500 0.500 0.282
P1 0.000 0.000 0.562
Ru1 0.500 0.500 0.708
# formation enthalpy at 0 K = -0.0460 eV per atom
# magnetic moment = 0.00 μB/f.u.
# N(E_F) = 0.454 states/eV per atom

12.
# CrRuAu4 (PBE, relaxed)
data_CrRuAu4
_chemical_formula_sum 'Cr4 Ru4 Au16'
_cell_length_a 7.654
_cell_length_b 7.654
_cell_length_c 7.654
_cell_angle_alpha 90.00
_cell_angle_beta 90.00
_cell_angle_gamma 90.00
_space_group_name_H-M_alt 'F -4 3 m'
_space_group_IT_number 216
_space_group_name_Hall 'F -4 2 3'
loop_
_atom_site_label
_atom_site_fract_x
_atom_site_fract_y
_atom_site_fract_z
Cr1 0.000 0.000 0.000
Ru1 0.250 0.250 0.750
Au1 0.125 0.125 0.375
# formation enthalpy at 0 K = 0.5432 eV per atom
# magnetic moment = 1.87 μB/f.u.
# N(E_F) = 0.986 states/eV per atom

13.
# MgReN2 (PBE, relaxed)
data_MgReN2
_chemical_formula_sum 'Mg3 Re3 N6'
_cell_length_a 3.0362
_cell_length_b 3.0362
_cell_length_c 18.6393
_cell_angle_alpha 90.00
_cell_angle_beta 90.00
_cell_angle_gamma 120.00
_space_group_name_H-M_alt 'R -3 m'
_space_group_IT_number 166
_space_group_name_Hall '-R 3 2"'
loop_
_atom_site_label
_atom_site_fract_x
_atom_site_fract_y
_atom_site_fract_z
Mg1 0.0000 0.0000 0.0000
Re1 0.0000 0.0000 0.5000
N1 0.0000 0.0000 0.4013
# magnetic moment = 0.00 μB/f.u.
# E_form (uncorrected) = 0.99 eV/f.u.
# N(E_F) = 0.624 states/eV per atom

14.
# CuPdO2 (PBE, relaxed)
data_CuPdO2
_chemical_formula_sum 'Cu2 Pd2 O4'
_cell_length_a 5.279
_cell_length_b 4.256
_cell_length_c 4.289
_cell_angle_alpha 90.00
_cell_angle_beta 90.00
_cell_angle_gamma 90.00
_space_group_name_H-M_alt 'P m n a'
_space_group_IT_number 53
loop_
_space_group_symop_operation_xyz
'x,y,z'
'-x,-y,-z'
'-x+1/2,-y,z+1/2'
'x+1/2,y,-z+1/2'
'x,-y,-z'
'-x,y,z'
'-x+1/2,y,-z+1/2'
'x+1/2,-y,z+1/2'
loop_
_atom_site_label
_atom_site_fract_x
_atom_site_fract_y
_atom_site_fract_z
Cu1 0.000 0.000 0.000
Pd1 0.000 0.500 0.500
O1 0.250 0.232 0.250
# magnetic moment = 0.00 μB/f.u.
# E_form (uncorrected) = -2.12 eV/f.u.
# N(E_F) = 0.440 states/eV per atom

15.
# Zn3CdAu4 (PBE, relaxed)
data_Zn3CdAu4
_chemical_formula_sum 'Zn6 Cd2 Au8'
_cell_length_a 9.096
_cell_length_b 6.534
_cell_length_c 4.602
_cell_angle_alpha 90.00
_cell_angle_beta 90.00
_cell_angle_gamma 90.00
_space_group_name_H-M_alt 'P m m a'
_space_group_IT_number 51
loop_
_space_group_symop_operation_xyz
'x,y,z'
'-x,-y,-z'
'-x+1/2,-y,z'
'x+1/2,y,-z'
'x+1/2,-y,-z'
'-x+1/2,y,z'
'-x,y,-z'
'x,-y,z'
loop_
_atom_site_label
_atom_site_fract_x
_atom_site_fract_y
_atom_site_fract_z
Zn1 0.000 0.000 0.000
Zn2 0.250 0.000 0.446
Zn3 0.250 0.500 0.461
Cd1 0.000 0.500 0.000
Au1 0.000 0.235 0.500
Au2 0.250 0.235 0.949
# formation enthalpy at 0 K = -0.1809 eV per atom
# magnetic moment = 0.00 μB/f.u.
# N(E_F) = 0.283 states/eV per atom

16.
# ScIn4 (PBE, relaxed)
data_ScIn4
_chemical_formula_sum 'Sc2 In8'
_cell_length_a 5.761
_cell_length_b 5.761
_cell_length_c 8.632
_cell_angle_alpha 90.00
_cell_angle_beta 90.00
_cell_angle_gamma 90.00
_space_group_name_H-M_alt 'I 4/m m m'
_space_group_IT_number 139
_space_group_name_Hall '-I 4 2'
loop_
_atom_site_label
_atom_site_fract_x
_atom_site_fract_y
_atom_site_fract_z
Sc1 0.000 0.000 0.000
In1 0.000 0.000 0.341
In2 0.000 0.500 0.250
# formation enthalpy at 0 K = 0.1928 eV per atom
# magnetic moment = 0.00 μB/f.u.
# N(E_F) = 0.825 states/eV per atom

17.
# FeTcBr2 (PBE, relaxed)
data_FeTcBr2
_chemical_formula_sum 'Fe3 Tc3 Br6'
_cell_length_a 3.2713
_cell_length_b 3.2713
_cell_length_c 25.1449
_cell_angle_alpha 90.00
_cell_angle_beta 90.00
_cell_angle_gamma 120.00
_space_group_name_H-M_alt 'R -3 m'
_space_group_IT_number 166
_space_group_name_Hall '-R 3 2"'
loop_
_atom_site_label
_atom_site_fract_x
_atom_site_fract_y
_atom_site_fract_z
Fe1 0.0000 0.0000 0.0000
Tc1 0.0000 0.0000 0.5000
Br1 0.0000 0.0000 0.0933
# magnetic moment = 1.68 μB/f.u.
# E_form (uncorrected) = 3.13 eV/f.u.
# N(E_F) = 1.233 states/eV per atom

18.
# IrRu3 (PBE, relaxed)
data_IrRu3
_chemical_formula_sum 'Ir4 Ru12'
_cell_length_a 7.400
_cell_length_b 7.447
_cell_length_c 4.419
_cell_angle_alpha 90.00
_cell_angle_beta 90.00
_cell_angle_gamma 90.00
_space_group_name_H-M_alt 'C m c m'
_space_group_IT_number 63
_space_group_name_Hall '-C 2c 2'
loop_
_atom_site_label
_atom_site_fract_x
_atom_site_fract_y
_atom_site_fract_z
Ir1 0.000 0.085 0.250
Ru1 0.000 0.419 0.250
Ru2 0.167 0.248 0.750
# formation enthalpy at 0 K = 0.3389 eV per atom
# magnetic moment = 0.00 μB/f.u.
# N(E_F) = 0.791 states/eV per atom

19.
# Sr2SnSbS5 (PBE, relaxed)
data_Sr2SnSbS5
_chemical_formula_sum 'Sr8 Sn4 Sb4 S20'
_cell_length_a 4.370
_cell_length_b 17.734
_cell_length_c 12.091
_cell_angle_alpha 90.00
_cell_angle_beta 90.00
_cell_angle_gamma 90.00
_space_group_name_H-M_alt 'C m c 21'
_space_group_IT_number 36
loop_
_space_group_symop_operation_xyz
'x,y,z'
'-x,-y,z+1/2'
'-x,y,z'
'x,-y,z+1/2'
'x+1/2,y+1/2,z'
'-x+1/2,-y+1/2,z+1/2'
'-x+1/2,y+1/2,z'
'x+1/2,-y+1/2,z+1/2'
loop_
_atom_site_label
_atom_site_fract_x
_atom_site_fract_y
_atom_site_fract_z
Sr1 0.000 0.113 0.000
Sr2 0.000 0.128 0.624
Sn1 0.000 0.443 0.771
Sb1 0.000 0.219 0.342
S1 0.000 0.041 0.367
S2 0.000 0.282 0.981
S3 0.000 0.314 0.678
S4 0.000 0.359 0.316
S5 0.000 0.495 0.089
# magnetic moment = 0.00 μB/f.u.
# E_form (uncorrected) = -9.70 eV/f.u.
# N(E_F) = 0.109 states/eV per atom

20.
# NbB3S (PBE, relaxed)
data_NbB3S
_chemical_formula_sum 'Nb1 B3 S1'
_cell_length_a 4.374
_cell_length_b 4.374
_cell_length_c 4.374
_cell_angle_alpha 90.00
_cell_angle_beta 90.00
_cell_angle_gamma 90.00
_space_group_name_H-M_alt 'P m -3 m'
_space_group_IT_number 221
_space_group_name_Hall '-P 4 2 3'
loop_
_atom_site_label
_atom_site_fract_x
_atom_site_fract_y
_atom_site_fract_z
Nb1 0.000 0.000 0.000
B1 0.000 0.000 0.500
S1 0.500 0.500 0.500
# magnetic moment = 0.00 μB/f.u.
# E_form (uncorrected) = 10.15 eV/f.u.
# N(E_F) = 1.002 states/eV per atom